Entry 1:
Here is crystalline TaNiH at its relaxed geometry from Alexandria via LeMat-Bulk. Energies are from PBE-GGA.

The structure in POSCAR format:
```
TaNiH
1.0
-3.551 2.508 0.811
0.048 -0.823 2.754
1.460 2.334 -0.828
Ni H Ta
1 1 1
Cartesian
0.096 1.912 0.570 Ni
-0.055 0.039 0.013 H
-2.085 2.068 2.155 Ta
```

## Properties
* symmetry: P3m1, No. 156


Entry 2:
Here is crystalline TaNiH2 at its relaxed geometry from Alexandria via LeMat-Bulk. Energies are from PBE-GGA.

The structure in POSCAR format:
```
TaNiH2
1.0
-2.150 -2.499 1.512
-1.748 0.742 3.089
-3.598 0.454 -0.017
Ni H Ta
1 2 1
Cartesian
0.000 0.000 0.000 Ni
-1.874 -0.326 1.146 H
-5.622 -0.977 3.438 H
-3.748 -0.651 2.292 Ta
```

## Properties
* symmetry: Fm-3m, No. 225


Number 1: total energy -7.054 eV per atom. Number 2: total energy -5.910 eV per atom.